Compound: Th4P6PbO24
Source: Alexandria
Functional: meta-GGA SCAN
Structure: single point on PBEsol structure

Output
* energy relative to the elements, uncorrected: -3.0976 eV/atom
* crystal system: triclinic
* density of states at the Fermi level: 0.00 states/eV/cell

Cell and atoms, written as extended XYZ:
```
35
Lattice="-5.4155 1.0799 -4.0591 4.6947 -1.1031 -6.5450 -0.0613 -8.6813 3.5576" Properties=species:S:1:pos:R:3 pbc="T T T"
O 0.7986 -0.6337 -3.4615
O -1.8130 -2.3684 -0.9855
O -1.4819 -8.0402 -3.5598
Th -0.6493 -6.0209 -7.6742
Pb -2.5644 -7.6950 0.2001
P 1.6050 -5.8934 -4.7423
O 0.4394 -5.4323 -3.8243
O -0.2866 -5.1166 0.6982
O 0.8990 -1.4387 -1.1557
O 1.4189 -6.4106 -0.6544
O -3.6975 -6.7182 -2.0855
O -0.9783 -6.1131 -1.4938
O 1.0900 -6.4360 -6.0956
P 0.2098 -5.4898 -0.7492
O -0.5425 -3.5534 -7.7412
P -1.0247 -3.2014 -6.2830
O -3.2116 -1.7264 -3.0082
Th -0.1947 -2.6411 0.6331
O -1.2484 -3.3458 -3.2538
P -2.3963 -2.8319 -2.3165
O 0.5712 -4.0789 -1.2980
O -3.2311 -4.1439 -2.1626
O -2.2558 -2.3094 -6.3408
O 2.4509 -7.0039 -4.1155
P -1.4154 -8.5152 -5.0129
O 0.1350 -2.6445 -5.4750
O -0.0310 -0.5300 -9.0162
O -1.6514 -7.2164 -5.8304
O -1.3903 -4.6499 -5.7922
O 3.0286 -2.0368 -4.8203
Th 1.1803 -2.9755 -3.4440
O -0.6814 -8.0845 1.8538
Th -1.9677 -5.7244 -3.6580
P 0.6340 -8.8444 1.5434
O 2.3894 -4.5618 -4.9078
```